Record 1
## NpSb2Pd3 (PBE-GGA)

Data for a relaxed structure of NpSb2Pd3.

POSCAR file:
```
NpSb2Pd3
1.0
4.591 0.000 0.000
0.000 8.880 0.000
0.000 0.000 5.736
Np Sb Pd
2 4 6
Direct
0.000 0.001 0.000 Np
0.000 0.999 0.500 Np
0.000 0.345 0.251 Sb
0.000 0.655 0.751 Sb
0.500 0.194 0.746 Sb
0.500 0.806 0.246 Sb
0.000 0.356 0.734 Pd
0.000 0.644 0.234 Pd
0.500 0.166 0.252 Pd
0.500 0.461 0.018 Pd
0.500 0.539 0.518 Pd
0.500 0.834 0.752 Pd
```

**Formation energy (no corrections)**: -0.4000 eV/atom
**Crystal system**: orthorhombic

=====

Record 2
## La3Tm2Ag3 (PBE-GGA)

Data for a relaxed structure of La3Tm2Ag3.

POSCAR file:
```
La3Tm2Ag3
1.0
-1.852 2.750 11.191
1.852 -2.750 11.191
1.852 2.750 -11.191
La Tm Ag
3 2 3
Direct
0.000 0.000 0.000 La
0.378 0.878 0.500 La
0.622 0.122 0.500 La
0.233 0.233 0.000 Tm
0.767 0.767 0.000 Tm
0.126 0.626 0.500 Ag
0.500 0.500 0.000 Ag
0.874 0.374 0.500 Ag
```

**DFT formation energy**: -0.19 eV/atom
**Crystal system**: orthorhombic

=====

What are the density of states at the Fermi level values for these records? In order: 14.02; 9.19 states/eV/cell.